[1]
The following is a DFT calculation (GGA-PBE) of a relaxed Ge4N crystal.

Lattice parameters (Å, degrees): 4.426 4.426 4.426 90.00 90.00 90.00
Space group Pm-3m (No. 221)
Inequivalent atoms, fractional coordinates:
Ge1 0.000 0.000 0.000 (multiplicity 1)
Ge2 0.000 0.500 0.500 (multiplicity 3)
N1 0.500 0.500 0.500 (multiplicity 1)

The total energy is -4.719 eV/atom.



[2]
The following is a DFT calculation (GGA-PBE) of a relaxed GeN crystal.

Lattice parameters (Å, degrees): 4.771 5.392 7.449 90.00 90.00 90.00
Space group P2_12_12_1 (No. 19)
Inequivalent atoms, fractional coordinates:
Ge1 0.188 0.048 0.033 (multiplicity 4)
Ge2 0.240 0.543 0.791 (multiplicity 4)
N1 0.081 0.396 0.027 (multiplicity 4)
N2 0.085 0.876 0.813 (multiplicity 4)

The total energy is -6.142 eV/atom.



[3]
The following is a DFT calculation (GGA-PBE) of a relaxed GeN crystal.

Lattice parameters (Å, degrees): 2.867 2.863 3.210 90.00 90.35 90.00
Space group P2/m (No. 10)
Inequivalent atoms, fractional coordinates:
Ge1 0.000 0.000 0.000 (multiplicity 1)
N1 0.500 0.500 0.000 (multiplicity 1)

The total energy is -5.672 eV/atom.



[4]
The following is a DFT calculation (GGA-PBE) of a relaxed GeN crystal.

Lattice parameters (Å, degrees): 5.879 5.879 5.879 90.00 90.00 90.00
Space group Pm-3n (No. 223)
Inequivalent atoms, fractional coordinates:
Ge1 0.000 0.250 0.500 (multiplicity 6)
N1 0.000 0.500 0.250 (multiplicity 6)

The total energy is -5.788 eV/atom.



[5]
The following is a DFT calculation (GGA-PBE) of a relaxed GeN crystal.

Lattice parameters (Å, degrees): 3.113 10.806 4.284 90.00 90.00 90.00
Space group Pmmn (No. 59, origin choice 2)
Inequivalent atoms, fractional coordinates:
Ge1 0.250 0.064 0.217 (multiplicity 4)
Ge2 0.250 0.750 0.283 (multiplicity 2)
N1 0.250 0.250 0.972 (multiplicity 2)
N2 0.250 0.606 0.523 (multiplicity 4)

The total energy is -6.359 eV/atom.



[6]
The following is a DFT calculation (GGA-PBE) of a relaxed GeN crystal.

Lattice parameters (Å, degrees): 9.106 9.106 3.068 90.00 90.00 90.00
Space group P4/m (No. 83)
Inequivalent atoms, fractional coordinates:
Ge1 0.081 0.366 0.000 (multiplicity 4)
Ge2 0.269 0.622 0.500 (multiplicity 4)
N1 0.121 0.586 0.000 (multiplicity 4)
N2 0.154 0.280 0.500 (multiplicity 4)

The total energy is -6.292 eV/atom.